A relaxed structure of BaFeF4. Source: Alexandria via LeMat-Bulk, functional PBE+U.

Calculated values
SG: Cmmm
Mass density (g cm⁻³): 4.081
Calculated volume (Å³ per atom): 18.252
Total DFT energy (no corrections) (eV/f.u.): -33.41

```
BaFeF4
1.0
7.588 0.000 0.000
0.000 7.754 0.000
0.000 0.000 3.722
Ba Fe F
2 2 8
Direct
0.000 0.000 0.000
0.500 0.500 0.000
0.000 0.500 0.500
0.500 0.000 0.500
0.000 0.334 0.000
0.000 0.666 0.000
0.237 0.000 0.500
0.263 0.500 0.500
0.500 0.166 0.000
0.500 0.834 0.000
0.737 0.500 0.500
0.763 0.000 0.500
```